Entry 1:
The following is a DFT calculation (PBE) of a relaxed structure of CrMoPt2.

Output
Energy above the lowest structure with this stoichiometry: 21.66 kJ/mol of atoms
Space-group type: No. 160

```
CrMoPt2
1.0
1.369 0.790 9.153
-1.369 0.790 9.153
0.000 -1.581 9.153
Cr Mo Pt
1 1 2
Cartesian
0.000 0.000 0.000
0.000 0.000 20.585
0.000 0.000 7.065
0.000 0.000 13.731
```

Entry 2:
The following is a DFT calculation (PBE) of a relaxed structure of Cr2MoPt9.

Output
Calculated total energy: -0.2683 hartree per atom
Space-group type: No. 123

```
Cr2MoPt9
1.0
3.939 0.000 0.000
0.000 3.939 0.000
0.000 0.000 11.819
Cr Mo Pt
2 1 9
Cartesian
0.000 0.000 1.906
0.000 0.000 9.914
0.000 0.000 5.910
0.000 1.969 0.000
0.000 1.969 3.952
0.000 1.969 7.868
1.969 0.000 0.000
1.969 0.000 3.952
1.969 0.000 7.868
1.969 1.969 1.971
1.969 1.969 5.910
1.969 1.969 9.849
```

Entry 3:
The following is a DFT calculation (PBE) of a relaxed structure of CrMo3Pt.

Output
Energy above the lowest structure with this stoichiometry: 0.00 kJ/mol of atoms
Space-group type: No. 221

```
CrMo3Pt
1.0
4.417 0.000 0.000
0.000 4.417 0.000
0.000 0.000 4.417
Cr Mo Pt
1 3 1
Cartesian
0.000 0.000 0.000
0.000 0.000 2.208
0.000 2.208 0.000
2.208 0.000 0.000
2.208 2.208 2.208
```

Entry 4:
The following is a DFT calculation (PBE) of a relaxed structure of CrMo2Pt.

Output
Energy above the lowest structure with this stoichiometry: 8.00 kJ/mol of atoms
Space-group type: No. 47

```
CrMo2Pt
1.0
2.739 0.000 0.000
0.000 3.893 0.000
0.000 0.000 5.559
Cr Mo Pt
1 2 1
Cartesian
0.000 0.000 0.000
1.370 1.947 1.273
1.370 1.947 4.285
0.000 0.000 2.779
```

Entry 5:
The following is a DFT calculation (PBE) of a relaxed structure of CrMo2Pt.

Output
Energy above the lowest structure with this stoichiometry: 6.17 kJ/mol of atoms
Space-group type: No. 65

```
CrMo2Pt
1.0
2.742 -3.987 0.000
2.742 3.987 0.000
0.000 0.000 2.703
Cr Mo Pt
1 2 1
Cartesian
0.000 0.000 0.000
1.371 1.994 1.352
1.371 -1.994 1.352
2.742 0.000 0.000
```

Entry 6:
The following is a DFT calculation (PBE) of a relaxed structure of CrMo2Pt.

Output
Energy above the lowest structure with this stoichiometry: 8.89 kJ/mol of atoms
Space-group type: No. 8

```
CrMo2Pt
1.0
4.578 -1.340 0.000
4.578 1.340 0.000
-0.708 0.000 4.840
Cr Mo Pt
1 2 1
Cartesian
0.000 0.000 0.000
1.721 0.000 3.667
4.112 0.000 2.376
6.585 0.000 1.172
```

Entry 7:
The following is a DFT calculation (PBE) of a relaxed structure of CrMoPt2.

Output
Energy above the lowest structure with this stoichiometry: 9.87 kJ/mol of atoms
Space-group type: No. 99

```
CrMoPt2
1.0
2.710 0.000 0.000
0.000 2.710 0.000
0.000 0.000 8.037
Cr Mo Pt
1 1 2
Cartesian
0.000 0.000 0.000
1.355 1.355 2.053
0.000 0.000 4.044
1.355 1.355 6.291
```

Entry 8:
The following is a DFT calculation (PBE) of a relaxed structure of CrMoPt2.

Output
Energy above the lowest structure with this stoichiometry: 25.54 kJ/mol of atoms
Space-group type: No. 216

```
CrMoPt2
1.0
0.000 3.118 3.118
3.118 0.000 3.118
3.118 3.118 0.000
Cr Mo Pt
1 1 2
Cartesian
0.000 0.000 0.000
4.676 4.676 4.676
1.559 1.559 1.559
3.118 3.118 3.118
```

Entry 9:
The following is a DFT calculation (PBE) of a relaxed structure of CrMo2Pt.

Output
Energy above the lowest structure with this stoichiometry: 0.23 kJ/mol of atoms
Space-group type: No. 71

```
CrMo2Pt
1.0
-1.926 1.932 4.017
1.926 -1.932 4.017
1.926 1.932 -4.017
Cr Mo Pt
1 2 1
Cartesian
0.000 0.000 0.000
1.926 0.000 2.006
0.000 1.932 2.011
0.000 0.000 4.017
```

Entry 10:
The following is a DFT calculation (PBE) of a relaxed structure of Cr4MoPt.

Output
Calculated total energy: -0.3408 hartree per atom
Space-group type: No. 216

```
Cr4MoPt
1.0
0.000 3.383 3.383
3.383 0.000 3.383
3.383 3.383 0.000
Cr Mo Pt
4 1 1
Cartesian
2.545 2.545 2.545
4.221 4.221 2.545
4.221 2.545 4.221
2.545 4.221 4.221
5.074 5.074 5.074
0.000 0.000 0.000
```

Entry 11:
The following is a DFT calculation (PBE) of a relaxed structure of CrMoPt2.

Output
Energy above the lowest structure with this stoichiometry: 0.00 kJ/mol of atoms
Space-group type: No. 25

```
CrMoPt2
1.0
2.712 0.000 0.000
0.000 4.402 0.000
0.000 0.000 4.881
Cr Mo Pt
1 1 2
Cartesian
0.000 0.000 0.000
0.000 2.201 3.307
1.356 0.000 2.444
1.356 2.201 0.800
```

Entry 12:
The following is a DFT calculation (PBE) of a relaxed structure of CrMoPt2.

Output
Energy above the lowest structure with this stoichiometry: 61.78 kJ/mol of atoms
Space-group type: No. 122

```
CrMoPt2
1.0
-3.498 3.498 2.620
3.498 -3.498 2.620
3.498 3.498 -2.620
Cr Mo Pt
2 2 4
Cartesian
0.000 0.000 0.000
0.000 3.498 1.310
3.498 0.000 1.310
0.000 0.000 2.620
1.749 1.589 -0.655
1.909 -1.749 3.276
1.749 1.909 1.965
1.589 5.247 0.655
```

Entry 13:
The following is a DFT calculation (PBE) of a relaxed structure of CrMo2Pt.

Output
Energy above the lowest structure with this stoichiometry: 12.33 kJ/mol of atoms
Space-group type: No. 12

```
CrMo2Pt
1.0
4.615 -1.343 0.000
4.615 1.343 0.000
-0.720 0.000 4.795
Cr Mo Pt
1 2 1
Cartesian
0.000 0.000 0.000
1.743 0.000 3.610
6.767 0.000 1.185
4.255 0.000 2.398
```

Entry 14:
The following is a DFT calculation (PBE) of a relaxed structure of CrMo2Pt.

Output
Energy above the lowest structure with this stoichiometry: 8.78 kJ/mol of atoms
Space-group type: No. 99

```
CrMo2Pt
1.0
3.197 0.000 0.000
0.000 3.197 0.000
0.000 0.000 5.936
Cr Mo Pt
1 2 1
Cartesian
0.000 0.000 0.000
0.000 0.000 2.848
1.598 1.598 1.359
1.598 1.598 4.451
```

Entry 15:
The following is a DFT calculation (PBE) of a relaxed structure of CrMoPt6.

Output
Calculated total energy: -0.2699 hartree per atom
Space-group type: No. 123

```
CrMoPt6
1.0
3.947 0.000 0.000
0.000 3.947 0.000
0.000 0.000 7.906
Cr Mo Pt
1 1 6
Cartesian
0.000 0.000 0.000
0.000 0.000 3.953
0.000 1.974 1.997
0.000 1.974 5.908
1.974 0.000 1.997
1.974 0.000 5.908
1.974 1.974 0.000
1.974 1.974 3.953
```

Entry 16:
The following is a DFT calculation (PBE) of a relaxed structure of CrMo2Pt.

Output
Energy above the lowest structure with this stoichiometry: 52.25 kJ/mol of atoms
Space-group type: No. 122

```
CrMo2Pt
1.0
-1.851 1.851 9.600
1.851 -1.851 9.600
1.851 1.851 -9.600
Cr Mo Pt
2 4 2
Cartesian
0.000 0.000 0.000
0.000 1.851 4.800
2.776 0.868 -2.400
0.868 0.925 2.400
-0.925 0.982 7.200
0.982 0.925 12.000
1.851 0.000 4.800
0.000 0.000 9.600
```

Entry 17:
The following is a DFT calculation (PBE) of a relaxed structure of CrMo2Pt.

Output
Energy above the lowest structure with this stoichiometry: 6.98 kJ/mol of atoms
Space-group type: No. 35

```
CrMo2Pt
1.0
1.658 -2.099 0.000
1.658 2.099 0.000
0.000 0.000 8.541
Cr Mo Pt
1 2 1
Cartesian
0.000 0.000 0.000
0.000 0.000 4.324
1.658 0.000 2.060
1.658 0.000 6.548
```

Entry 18:
The following is a DFT calculation (PBE) of a relaxed structure of CrMoPt2.

Output
Energy above the lowest structure with this stoichiometry: 17.48 kJ/mol of atoms
Space-group type: No. 12

```
CrMoPt2
1.0
4.598 -1.382 0.000
4.598 1.382 0.000
-0.863 0.000 4.695
Cr Mo Pt
1 1 2
Cartesian
0.000 0.000 0.000
4.167 0.000 2.347
1.686 0.000 3.536
6.648 0.000 1.158
```

Entry 19:
The following is a DFT calculation (PBE) of a relaxed structure of CrMoPt2.

Output
Energy above the lowest structure with this stoichiometry: 18.04 kJ/mol of atoms
Space-group type: No. 166

```
CrMoPt2
1.0
1.377 0.795 8.999
-1.377 0.795 8.999
0.000 -1.590 8.999
Cr Mo Pt
1 1 2
Cartesian
0.000 0.000 0.000
0.000 0.000 13.498
0.000 0.000 6.837
0.000 0.000 20.159
```

Entry 20:
The following is a DFT calculation (PBE) of a relaxed structure of CrMo2Pt.

Output
Energy above the lowest structure with this stoichiometry: 0.00 kJ/mol of atoms
Space-group type: No. 123

```
CrMo2Pt
1.0
3.827 0.000 0.000
0.000 3.827 0.000
0.000 0.000 4.079
Cr Mo Pt
1 2 1
Cartesian
0.000 0.000 0.000
0.000 1.914 2.040
1.914 0.000 2.040
1.914 1.914 0.000
```

Fermi-level density of states values, unit states/eV per cell, following the record order: 4.990 13.474 4.578 4.827 3.462 3.826 3.965 5.088 3.051 7.092 3.400 15.374 3.904 3.804 6.265 9.635 3.613 4.849 3.999 3.821.
Total moment values, unit Bohr magnetons per cell, following the record order: 0.82 7.05 0.00 0.00 0.00 0.00 0.00 1.94 1.78 0.00 0.00 0.00 0.03 2.24 4.49 5.97 0.00 1.79 1.23 1.67.